No. 1
MgZrAs3 (PBE-GGA, relaxed); energy = -0.15844 hartree per atom; polymorph energy (0 for the lowest one) = 397.6 meV per atom; N(E_F) = 4.90 states/eV/cell
1.0
4.8572 0.0000 0.0000
0.0000 4.8572 0.0000
0.0000 0.0000 4.8572
Mg Zr As
1 1 3
Cartesian
0.0000 0.0000 0.0000
2.4286 2.4286 2.4286
0.0000 0.0000 2.4286
0.0000 2.4286 0.0000
2.4286 0.0000 0.0000



No. 2
MgZr2As (PBE-GGA, relaxed); energy = -0.22104 hartree per atom; polymorph energy (0 for the lowest one) = 323.8 meV per atom; N(E_F) = 3.40 states/eV/cell
1.0
0.0000 3.4252 3.4252
3.4252 0.0000 3.4252
3.4252 3.4252 0.0000
Mg Zr As
1 2 1
Cartesian
0.0000 0.0000 0.0000
1.7126 1.7126 1.7126
5.1377 5.1377 5.1377
3.4252 3.4252 3.4252



No. 3
MgZrAs2 (PBE-GGA, relaxed); energy = -0.20622 hartree per atom; N(E_F) = 0.76 states/eV/cell
1.0
1.9430 1.1218 6.5477
-1.9430 1.1218 6.5477
0.0000 -2.2436 6.5477
Mg Zr As
1 1 2
Cartesian
0.0000 0.0000 0.0000
0.0000 0.0000 3.3388
0.0000 0.0000 11.4749
0.0000 0.0000 14.8296



| no. | ΔH_f (0 K) (eV per atom) |
| --- | --- |
| 1 | 0.507 |
| 2 | -0.180 |
| 3 | -0.751 |